Record 1
Entry from Alexandria: a geometry-optimized KNi3W structure (PBE).

The calculation puts the density of states at the Fermi level at 4.94 states/eV/cell. Its calculated density is 7.99 g/cm³. The value obtained for the total moment is 3.15 μB per formula unit. The value obtained for the volume is 16.6 A^3/atom. As for the energy relative to the elements: 12.42 eV per formula unit.

The structure in POSCAR format:
```
KNi3W
1.0
-0.205 -4.219 1.087
1.593 0.940 3.950
-4.055 0.583 1.497
Ni W K
3 1 1
Cartesian
-0.103 -2.109 0.543
0.797 0.470 1.975
-2.027 0.291 0.748
-1.333 -1.348 3.267
0.000 0.000 0.000
```

Record 2
Entry from Alexandria: a geometry-optimized KNi2W structure (PBE).

The calculation puts the density of states at the Fermi level at 3.09 states/eV/cell. Its calculated density is 7.10 g/cm³. The value obtained for the total moment is 0.00 μB per formula unit. The value obtained for the volume is 19.9 A^3/atom. As for the energy relative to the elements: 3.00 eV per formula unit.

The structure in POSCAR format:
```
KNi2W
1.0
4.615 -0.004 0.016
3.818 2.592 0.016
0.724 0.222 6.652
Ni K W
2 1 1
Cartesian
8.237 2.528 0.618
2.398 0.736 1.811
6.804 2.088 5.166
4.730 1.452 2.461
```

Record 3
Entry from Alexandria: a geometry-optimized KNi2W structure (PBE).

The calculation puts the density of states at the Fermi level at 3.39 states/eV/cell. Its calculated density is 7.93 g/cm³. The value obtained for the total moment is 0.00 μB per formula unit. The value obtained for the volume is 17.8 A^3/atom. As for the energy relative to the elements: 2.82 eV per formula unit.

The structure in POSCAR format:
```
KNi2W
1.0
-8.667 -0.398 -3.379
-8.204 -3.320 -2.892
-9.156 -1.560 -0.658
Ni K W
2 1 1
Cartesian
-13.487 -2.735 -3.590
-25.555 -5.182 -6.802
-19.521 -3.959 -5.196
-6.507 -1.320 -1.732
```

Record 4
Entry from Alexandria: a geometry-optimized KNi2W structure (PBE).

The calculation puts the density of states at the Fermi level at 5.24 states/eV/cell. Its calculated density is 8.74 g/cm³. The value obtained for the total moment is 0.00 μB per formula unit. The value obtained for the volume is 16.2 A^3/atom. As for the energy relative to the elements: 6.00 eV per formula unit.

The structure in POSCAR format:
```
KNi2W
1.0
-4.831 1.339 1.663
-1.316 -0.774 5.056
3.956 2.155 -2.757
Ni W K
2 1 1
Cartesian
0.000 0.000 0.000
-0.216 0.832 2.830
-3.073 0.282 3.360
-1.974 1.888 1.133
```